(1)
{
  "formula": "CdTe2Br",
  "functional": "meta-GGA SCAN",
  "state": "single point on PBEsol structure",
  "spacegroup": "Cmm2 (35)",
  "raw_formation_energy_ev_per_atom": -0.126,
  "relative_energy_ev_per_atom": 0.0000,
  "cell": [[1.925, -3.583, 0.000], [1.925, 3.583, 0.000], [0.000, 0.000, 9.073]],
  "species": ["Cd", "Te", "Te", "Br"],
  "fractional_positions": [[0.000, 0.000, 0.000], [0.000, 0.000, 0.471], [0.500, 0.500, 0.240], [0.500, 0.500, 0.796]]
}

(2)
{
  "formula": "CdTe2Br",
  "functional": "meta-GGA SCAN",
  "state": "single point on PBEsol structure",
  "spacegroup": "Fm-3m (225)",
  "raw_formation_energy_ev_per_atom": 0.235,
  "relative_energy_ev_per_atom": 0.3614,
  "cell": [[0.000, 3.684, 3.684], [3.684, 0.000, 3.684], [3.684, 3.684, 0.000]],
  "species": ["Cd", "Te", "Te", "Br"],
  "fractional_positions": [[0.000, 0.000, 0.000], [0.250, 0.250, 0.250], [0.750, 0.750, 0.750], [0.500, 0.500, 0.500]]
}

(3)
{
  "formula": "CdTeBr2",
  "functional": "meta-GGA SCAN",
  "state": "single point on PBEsol structure",
  "spacegroup": "Cmmm (65)",
  "raw_formation_energy_ev_per_atom": 0.132,
  "relative_energy_ev_per_atom": 0.0000,
  "cell": [[3.351, -4.343, 0.000], [3.351, 4.343, 0.000], [0.000, 0.000, 3.442]],
  "species": ["Cd", "Te", "Br", "Br"],
  "fractional_positions": [[0.000, 0.000, 0.000], [0.500, 0.500, 0.000], [0.000, 0.500, 0.500], [0.500, 0.000, 0.500]]
}

(4)
{
  "formula": "TlCdBr3",
  "functional": "meta-GGA SCAN",
  "state": "single point on PBEsol structure",
  "spacegroup": "Pm-3m (221)",
  "raw_formation_energy_ev_per_atom": -0.882,
  "relative_energy_ev_per_atom": 0.0854,
  "cell": [[5.390, 0.000, 0.000], [0.000, 5.390, 0.000], [0.000, 0.000, 5.390]],
  "species": ["Tl", "Cd", "Br", "Br", "Br"],
  "fractional_positions": [[0.000, 0.000, 0.000], [0.500, 0.500, 0.500], [0.000, 0.500, 0.500], [0.500, 0.000, 0.500], [0.500, 0.500, 0.000]]
}

(5)
{
  "formula": "TlCdBr",
  "functional": "meta-GGA SCAN",
  "state": "single point on PBEsol structure",
  "spacegroup": "Fmm2 (42)",
  "raw_formation_energy_ev_per_atom": -0.366,
  "cell": [[0.000, 2.631, 5.915], [2.625, 0.000, 5.915], [2.625, 2.631, 0.000]],
  "species": ["Tl", "Cd", "Br"],
  "fractional_positions": [[0.000, 0.000, 0.000], [0.332, 0.332, 0.668], [0.686, 0.686, 0.314]]
}

(6)
{
  "formula": "TlCd3Br",
  "functional": "meta-GGA SCAN",
  "state": "single point on PBEsol structure",
  "spacegroup": "Pm-3m (221)",
  "raw_formation_energy_ev_per_atom": 0.456,
  "cell": [[5.595, 0.000, 0.000], [0.000, 5.595, 0.000], [0.000, 0.000, 5.595]],
  "species": ["Tl", "Cd", "Cd", "Cd", "Br"],
  "fractional_positions": [[0.000, 0.000, 0.000], [0.000, 0.500, 0.500], [0.500, 0.000, 0.500], [0.500, 0.500, 0.000], [0.500, 0.500, 0.500]]
}

(7)
{
  "formula": "TlCdBr3",
  "functional": "meta-GGA SCAN",
  "state": "single point on PBEsol structure",
  "spacegroup": "Pnma (62)",
  "raw_formation_energy_ev_per_atom": -0.968,
  "relative_energy_ev_per_atom": 0.0000,
  "cell": [[9.285, 0.000, 0.000], [0.000, 4.095, 0.000], [0.000, 0.000, 15.170]],
  "species": ["Tl", "Tl", "Tl", "Tl", "Cd", "Cd", "Cd", "Cd", "Br", "Br", "Br", "Br", "Br", "Br", "Br", "Br", "Br", "Br", "Br", "Br"],
  "fractional_positions": [[0.061, 0.250, 0.177], [0.439, 0.750, 0.677], [0.561, 0.250, 0.323], [0.939, 0.750, 0.823], [0.168, 0.750, 0.444], [0.332, 0.250, 0.944], [0.668, 0.750, 0.056], [0.832, 0.250, 0.556], [0.023, 0.750, 0.606], [0.162, 0.750, 0.008], [0.210, 0.250, 0.784], [0.290, 0.750, 0.284], [0.338, 0.250, 0.508], [0.477, 0.250, 0.106], [0.523, 0.750, 0.894], [0.662, 0.750, 0.492], [0.710, 0.250, 0.716], [0.790, 0.750, 0.216], [0.838, 0.250, 0.992], [0.977, 0.250, 0.394]]
}

(8)
{
  "formula": "CdWBr2",
  "functional": "meta-GGA SCAN",
  "state": "single point on PBEsol structure",
  "spacegroup": "Fm-3m (225)",
  "raw_formation_energy_ev_per_atom": 1.212,
  "relative_energy_ev_per_atom": 0.9382,
  "cell": [[0.000, 3.358, 3.358], [3.358, 0.000, 3.358], [3.358, 3.358, 0.000]],
  "species": ["Cd", "W", "Br", "Br"],
  "fractional_positions": [[0.000, 0.000, 0.000], [0.500, 0.500, 0.500], [0.250, 0.250, 0.250], [0.750, 0.750, 0.750]]
}

(9)
{
  "formula": "CdWBr2",
  "functional": "meta-GGA SCAN",
  "state": "single point on PBEsol structure",
  "spacegroup": "Pmmm (47)",
  "raw_formation_energy_ev_per_atom": 0.947,
  "relative_energy_ev_per_atom": 0.6732,
  "cell": [[3.098, 0.000, 0.000], [0.000, 4.609, 0.000], [0.000, 0.000, 5.829]],
  "species": ["Cd", "W", "Br", "Br"],
  "fractional_positions": [[0.000, 0.000, 0.000], [0.500, 0.000, 0.500], [0.000, 0.500, 0.500], [0.500, 0.500, 0.000]]
}

(10)
{
  "formula": "CdWBr2",
  "functional": "meta-GGA SCAN",
  "state": "single point on PBEsol structure",
  "spacegroup": "Immm (71)",
  "raw_formation_energy_ev_per_atom": 0.274,
  "relative_energy_ev_per_atom": 0.0000,
  "cell": [[-1.524, 2.518, 6.328], [1.524, -2.518, 6.328], [1.524, 2.518, -6.328]],
  "species": ["Cd", "W", "Br", "Br"],
  "fractional_positions": [[0.000, 0.000, 0.000], [0.500, 0.500, 0.000], [0.337, 0.837, 0.500], [0.663, 0.163, 0.500]]
}

(11)
{
  "formula": "Zr2CdWBr",
  "functional": "meta-GGA SCAN",
  "state": "single point on PBEsol structure",
  "spacegroup": "P4/mmm (123)",
  "raw_formation_energy_ev_per_atom": 2.066,
  "cell": [[5.222, 0.000, 0.000], [0.000, 5.222, 0.000], [0.000, 0.000, 4.794]],
  "species": ["Zr", "Zr", "Cd", "W", "Br"],
  "fractional_positions": [[0.000, 0.500, 0.000], [0.500, 0.000, 0.000], [0.000, 0.000, 0.000], [0.500, 0.500, 0.500], [0.000, 0.000, 0.500]]
}

(12)
{
  "formula": "Y2CdBr",
  "functional": "meta-GGA SCAN",
  "state": "single point on PBEsol structure",
  "spacegroup": "Pmmm (47)",
  "raw_formation_energy_ev_per_atom": -0.770,
  "cell": [[3.674, 0.000, 0.000], [0.000, 4.714, 0.000], [0.000, 0.000, 5.927]],
  "species": ["Y", "Y", "Cd", "Br"],
  "fractional_positions": [[0.000, 0.000, 0.000], [0.500, 0.500, 0.500], [0.000, 0.000, 0.500], [0.500, 0.500, 0.000]]
}

(13)
{
  "formula": "Y3CdBr",
  "functional": "meta-GGA SCAN",
  "state": "single point on PBEsol structure",
  "spacegroup": "Pm-3m (221)",
  "raw_formation_energy_ev_per_atom": -0.302,
  "cell": [[5.237, 0.000, 0.000], [0.000, 5.237, 0.000], [0.000, 0.000, 5.237]],
  "species": ["Y", "Y", "Y", "Cd", "Br"],
  "fractional_positions": [[0.000, 0.000, 0.500], [0.000, 0.500, 0.000], [0.500, 0.000, 0.000], [0.500, 0.500, 0.500], [0.000, 0.000, 0.000]]
}

(14)
{
  "formula": "YCdBr",
  "functional": "meta-GGA SCAN",
  "state": "single point on PBEsol structure",
  "spacegroup": "I4mm (107)",
  "raw_formation_energy_ev_per_atom": -0.751,
  "cell": [[-1.735, 1.735, 6.657], [1.735, -1.735, 6.657], [1.735, 1.735, -6.657]],
  "species": ["Y", "Cd", "Br"],
  "fractional_positions": [[0.000, 0.000, 0.000], [0.348, 0.348, 0.000], [0.625, 0.625, 0.000]]
}

(15)
{
  "formula": "YCdBr2",
  "functional": "meta-GGA SCAN",
  "state": "single point on PBEsol structure",
  "spacegroup": "Cmmm (65)",
  "raw_formation_energy_ev_per_atom": -0.764,
  "cell": [[3.326, -4.100, 0.000], [3.326, 4.100, 0.000], [0.000, 0.000, 3.602]],
  "species": ["Y", "Cd", "Br", "Br"],
  "fractional_positions": [[0.000, 0.000, 0.000], [0.500, 0.500, 0.000], [0.000, 0.500, 0.500], [0.500, 0.000, 0.500]]
}

(16)
{
  "formula": "ZnCdBr4",
  "functional": "meta-GGA SCAN",
  "state": "single point on PBEsol structure",
  "spacegroup": "F-43m (216)",
  "raw_formation_energy_ev_per_atom": 0.568,
  "cell": [[0.000, 4.343, 4.343], [4.343, 0.000, 4.343], [4.343, 4.343, 0.000]],
  "species": ["Zn", "Cd", "Br", "Br", "Br", "Br"],
  "fractional_positions": [[0.000, 0.000, 0.000], [0.750, 0.750, 0.750], [0.376, 0.376, 0.376], [0.376, 0.376, 0.872], [0.376, 0.872, 0.376], [0.872, 0.376, 0.376]]
}

(17)
{
  "formula": "Zn2CdBr",
  "functional": "meta-GGA SCAN",
  "state": "single point on PBEsol structure",
  "spacegroup": "Pmmm (47)",
  "raw_formation_energy_ev_per_atom": -0.008,
  "relative_energy_ev_per_atom": 0.0794,
  "cell": [[3.209, 0.000, 0.000], [0.000, 3.376, 0.000], [0.000, 0.000, 7.471]],
  "species": ["Zn", "Zn", "Cd", "Br"],
  "fractional_positions": [[0.000, 0.000, 0.224], [0.000, 0.000, 0.776], [0.500, 0.500, 0.000], [0.000, 0.500, 0.500]]
}

(18)
{
  "formula": "ZnCd3Br",
  "functional": "meta-GGA SCAN",
  "state": "single point on PBEsol structure",
  "spacegroup": "Pm-3m (221)",
  "raw_formation_energy_ev_per_atom": 0.691,
  "cell": [[5.654, 0.000, 0.000], [0.000, 5.654, 0.000], [0.000, 0.000, 5.654]],
  "species": ["Zn", "Cd", "Cd", "Cd", "Br"],
  "fractional_positions": [[0.000, 0.000, 0.000], [0.000, 0.500, 0.500], [0.500, 0.000, 0.500], [0.500, 0.500, 0.000], [0.500, 0.500, 0.500]]
}

(19)
{
  "formula": "Zn2CdBr",
  "functional": "meta-GGA SCAN",
  "state": "single point on PBEsol structure",
  "spacegroup": "Fm-3m (225)",
  "raw_formation_energy_ev_per_atom": 0.338,
  "relative_energy_ev_per_atom": 0.4254,
  "cell": [[0.000, 3.514, 3.514], [3.514, 0.000, 3.514], [3.514, 3.514, 0.000]],
  "species": ["Zn", "Zn", "Cd", "Br"],
  "fractional_positions": [[0.250, 0.250, 0.250], [0.750, 0.750, 0.750], [0.000, 0.000, 0.000], [0.500, 0.500, 0.500]]
}

(20)
{
  "formula": "Zn2CdBr",
  "functional": "meta-GGA SCAN",
  "state": "single point on PBEsol structure",
  "spacegroup": "R3m (160)",
  "raw_formation_energy_ev_per_atom": -0.087,
  "relative_energy_ev_per_atom": 0.0000,
  "cell": [[1.739, 1.004, 7.725], [-1.739, 1.004, 7.725], [0.000, -2.008, 7.725]],
  "species": ["Zn", "Zn", "Cd", "Br"],
  "fractional_positions": [[0.000, 0.000, 0.000], [0.263, 0.263, 0.263], [0.515, 0.515, 0.515], [0.746, 0.746, 0.746]]
}

(21)
{
  "formula": "Zn2CdBr",
  "functional": "meta-GGA SCAN",
  "state": "single point on PBEsol structure",
  "spacegroup": "Pmmm (47)",
  "raw_formation_energy_ev_per_atom": 0.221,
  "relative_energy_ev_per_atom": 0.3078,
  "cell": [[3.310, 0.000, 0.000], [0.000, 4.730, 0.000], [0.000, 0.000, 5.415]],
  "species": ["Zn", "Zn", "Cd", "Br"],
  "fractional_positions": [[0.000, 0.000, 0.000], [0.500, 0.500, 0.000], [0.000, 0.500, 0.500], [0.500, 0.000, 0.500]]
}

(22)
{
  "formula": "ZnCd4Br",
  "functional": "meta-GGA SCAN",
  "state": "single point on PBEsol structure",
  "spacegroup": "F-43m (216)",
  "raw_formation_energy_ev_per_atom": 0.165,
  "cell": [[0.000, 4.098, 4.098], [4.098, 0.000, 4.098], [4.098, 4.098, 0.000]],
  "species": ["Zn", "Cd", "Cd", "Cd", "Cd", "Br"],
  "fractional_positions": [[0.000, 0.000, 0.000], [0.374, 0.374, 0.374], [0.374, 0.374, 0.878], [0.374, 0.878, 0.374], [0.878, 0.374, 0.374], [0.750, 0.750, 0.750]]
}

(23)
{
  "formula": "ZrCd2Br",
  "functional": "meta-GGA SCAN",
  "state": "single point on PBEsol structure",
  "spacegroup": "Imm2 (44)",
  "raw_formation_energy_ev_per_atom": -0.214,
  "cell": [[-1.598, 2.728, 5.293], [1.598, -2.728, 5.293], [1.598, 2.728, -5.293]],
  "species": ["Zr", "Cd", "Cd", "Br"],
  "fractional_positions": [[0.000, 0.000, 0.000], [0.483, 0.483, 0.000], [0.753, 0.253, 0.500], [0.199, 0.699, 0.500]]
}

(24)
{
  "formula": "ZrCdBr2",
  "functional": "meta-GGA SCAN",
  "state": "single point on PBEsol structure",
  "spacegroup": "I4/mmm (139)",
  "raw_formation_energy_ev_per_atom": -0.235,
  "cell": [[-2.262, 2.262, 4.195], [2.262, -2.262, 4.195], [2.262, 2.262, -4.195]],
  "species": ["Zr", "Cd", "Br", "Br"],
  "fractional_positions": [[0.000, 0.000, 0.000], [0.500, 0.500, 0.000], [0.250, 0.750, 0.500], [0.750, 0.250, 0.500]]
}

(25)
{
  "formula": "Cs2KCeBr6",
  "functional": "meta-GGA SCAN",
  "state": "single point on PBEsol structure",
  "spacegroup": "Fm-3m (225)",
  "raw_formation_energy_ev_per_atom": -2.050,
  "cell": [[0.000, 5.929, 5.929], [5.929, 0.000, 5.929], [5.929, 5.929, 0.000]],
  "species": ["Cs", "Cs", "K", "Ce", "Br", "Br", "Br", "Br", "Br", "Br"],
  "fractional_positions": [[0.250, 0.250, 0.250], [0.750, 0.750, 0.750], [0.000, 0.000, 0.000], [0.500, 0.500, 0.500], [0.259, 0.259, 0.741], [0.259, 0.741, 0.259], [0.259, 0.741, 0.741], [0.741, 0.259, 0.259], [0.741, 0.259, 0.741], [0.741, 0.741, 0.259]]
}

(26)
{
  "formula": "Cs2LiCeBr6",
  "functional": "meta-GGA SCAN",
  "state": "single point on PBEsol structure",
  "spacegroup": "Fm-3m (225)",
  "raw_formation_energy_ev_per_atom": -2.000,
  "cell": [[0.000, 5.551, 5.551], [5.551, 0.000, 5.551], [5.551, 5.551, 0.000]],
  "species": ["Cs", "Cs", "Li", "Ce", "Br", "Br", "Br", "Br", "Br", "Br"],
  "fractional_positions": [[0.250, 0.250, 0.250], [0.750, 0.750, 0.750], [0.000, 0.000, 0.000], [0.500, 0.500, 0.500], [0.243, 0.243, 0.757], [0.243, 0.757, 0.243], [0.243, 0.757, 0.757], [0.757, 0.243, 0.243], [0.757, 0.243, 0.757], [0.757, 0.757, 0.243]]
}

(27)
{
  "formula": "K2CeBr5",
  "functional": "meta-GGA SCAN",
  "state": "single point on PBEsol structure",
  "spacegroup": "Pnma (62)",
  "raw_formation_energy_ev_per_atom": -2.070,
  "cell": [[13.241, 0.000, 0.000], [0.000, 9.095, 0.000], [0.000, 0.000, 8.372]],
  "species": ["K", "K", "K", "K", "K", "K", "K", "K", "Ce", "Ce", "Ce", "Ce", "Br", "Br", "Br", "Br", "Br", "Br", "Br", "Br", "Br", "Br", "Br", "Br", "Br", "Br", "Br", "Br", "Br", "Br", "Br", "Br"],
  "fractional_positions": [[0.173, 0.005, 0.054], [0.173, 0.495, 0.054], [0.327, 0.505, 0.554], [0.327, 0.995, 0.554], [0.673, 0.005, 0.446], [0.673, 0.495, 0.446], [0.827, 0.505, 0.946], [0.827, 0.995, 0.946], [0.006, 0.250, 0.578], [0.494, 0.750, 0.078], [0.506, 0.250, 0.922], [0.994, 0.750, 0.422], [0.007, 0.250, 0.932], [0.079, 0.546, 0.669], [0.079, 0.954, 0.669], [0.182, 0.250, 0.369], [0.209, 0.750, 0.334], [0.291, 0.250, 0.834], [0.318, 0.750, 0.869], [0.421, 0.046, 0.169], [0.421, 0.454, 0.169], [0.493, 0.750, 0.432], [0.507, 0.250, 0.568], [0.579, 0.546, 0.831], [0.579, 0.954, 0.831], [0.682, 0.250, 0.131], [0.709, 0.750, 0.166], [0.791, 0.250, 0.666], [0.818, 0.750, 0.631], [0.921, 0.046, 0.331], [0.921, 0.454, 0.331], [0.993, 0.750, 0.068]]
}